[1]
{"formula": "YZn2W", "functional": "PBE", "state": "relaxed", "cell": [[5.365, 0.007, 0.000], [2.349, 4.823, 0.000], [-3.857, -2.415, 2.841]], "species": ["Y", "Zn", "Zn", "W"], "fractional_positions": [[0.750, 0.250, 0.500], [0.000, 0.000, 0.000], [0.250, 0.750, 0.500], [0.500, 0.500, 0.000]], "m_tot_mub_per_fu": 0.00, "total_energy_ev_per_cell": -20.6, "relative_energy_mev_per_atom": 196.0, "crystal_system": "tetragonal"}

---

[2]
{"formula": "Y2ZnW", "functional": "PBE", "state": "relaxed", "cell": [[-1.746, -0.113, 3.040], [2.260, -2.395, 1.208], [4.269, 5.364, 2.651]], "species": ["Y", "W", "Y", "Zn"], "fractional_positions": [[0.000, 0.000, 0.988], [0.500, 0.500, 0.750], [0.000, 0.000, 0.512], [0.500, 0.500, 0.250]], "m_tot_mub_per_fu": 0.00, "total_energy_ev_per_cell": -26.3, "crystal_system": "tetragonal"}

---

[3]
{"formula": "YZn2W", "functional": "PBE", "state": "relaxed", "cell": [[-1.948, -2.151, 0.405], [1.070, -0.463, 2.688], [-5.386, 5.460, 3.084]], "species": ["Zn", "Y", "Zn", "W"], "fractional_positions": [[0.000, 0.000, 0.023], [0.500, 0.500, 0.750], [0.000, 0.000, 0.477], [0.500, 0.500, 0.250]], "m_tot_mub_per_fu": 0.00, "total_energy_ev_per_cell": -21.2, "relative_energy_mev_per_atom": 62.0, "crystal_system": "tetragonal"}

---

[4]
{"formula": "YZn2W", "functional": "PBE", "state": "relaxed", "cell": [[3.898, 0.000, 0.000], [0.000, 2.983, 0.015], [0.000, 2.961, 6.205]], "species": ["Zn", "W", "Y", "Zn"], "fractional_positions": [[0.000, 0.542, 0.458], [0.500, 0.250, 0.250], [0.500, 0.750, 0.750], [0.000, 0.958, 0.042]], "m_tot_mub_per_fu": 0.00, "total_energy_ev_per_cell": -21.4, "relative_energy_mev_per_atom": 0.0, "crystal_system": "monoclinic"}

---

[5]
{"formula": "YZnW4", "functional": "PBE", "state": "relaxed", "cell": [[0.000, 3.836, 3.836], [3.836, 0.000, 3.836], [3.836, 3.836, 0.000]], "species": ["W", "W", "W", "W", "Y", "Zn"], "fractional_positions": [[0.374, 0.374, 0.374], [0.374, 0.877, 0.374], [0.877, 0.374, 0.374], [0.374, 0.374, 0.877], [0.750, 0.750, 0.750], [0.000, 0.000, 0.000]], "m_tot_mub_per_fu": 0.00, "total_energy_ev_per_cell": -57.0, "crystal_system": "cubic"}

---

[6]
{"formula": "YZnW", "functional": "PBE", "state": "relaxed", "cell": [[6.970, 0.028, -0.028], [6.342, 2.891, 0.021], [0.628, 0.086, 2.862]], "species": ["Zn", "W", "Y"], "fractional_positions": [[0.345, 0.345, 0.655], [0.987, 0.987, 0.013], [0.668, 0.668, 0.332]], "m_tot_mub_per_fu": 0.00, "total_energy_ev_per_cell": -19.6, "relative_energy_mev_per_atom": 16.4, "crystal_system": "tetragonal"}

---

[7]
{"formula": "YZn2W", "functional": "PBE", "state": "relaxed", "cell": [[5.626, 0.017, 0.074], [4.799, 2.936, 0.074], [2.121, 0.601, 4.433]], "species": ["Zn", "W", "Y", "Zn"], "fractional_positions": [[0.022, 0.022, 0.979], [0.483, 0.483, 0.518], [0.253, 0.253, 0.246], [0.742, 0.742, 0.757]], "m_tot_mub_per_fu": 0.00, "total_energy_ev_per_cell": -20.9, "relative_energy_mev_per_atom": 135.3, "crystal_system": "monoclinic"}

---

[8]
{"formula": "Y2ZnW", "functional": "PBE", "state": "relaxed", "cell": [[3.087, 0.000, 0.000], [0.000, 6.163, -0.002], [0.000, 3.741, 4.758]], "species": ["W", "Zn", "Y", "Y"], "fractional_positions": [[0.000, 0.000, 0.500], [0.500, 0.500, 0.500], [0.500, 0.500, 0.000], [0.000, 0.000, 0.000]], "m_tot_mub_per_fu": 0.00, "total_energy_ev_per_cell": -25.1, "crystal_system": "monoclinic"}

---

[9]
{"formula": "Y2ZnW", "functional": "PBE", "state": "relaxed", "cell": [[4.993, 0.001, -0.001], [4.038, 2.938, -0.001], [0.823, 0.268, 6.211]], "species": ["W", "Y", "Y", "Zn"], "fractional_positions": [[0.750, 0.750, 0.750], [0.500, 0.500, 0.506], [0.000, 0.000, 0.994], [0.250, 0.250, 0.250]], "m_tot_mub_per_fu": 0.00, "total_energy_ev_per_cell": -25.1, "crystal_system": "monoclinic"}

---

[10]
{"formula": "Y2ZnW", "functional": "PBE", "state": "relaxed", "cell": [[-0.043, -1.556, -9.640], [2.925, -2.844, -8.872], [0.179, -4.694, -8.561]], "species": ["Y", "Zn", "W", "Y"], "fractional_positions": [[0.000, 0.000, 0.000], [0.250, 0.250, 0.250], [0.750, 0.750, 0.750], [0.500, 0.500, 0.500]], "m_tot_mub_per_fu": 0.01, "total_energy_ev_per_cell": -25.3, "crystal_system": "trigonal"}

---

[11]
{"formula": "Y2ZnW", "functional": "PBE", "state": "relaxed", "cell": [[10.257, 0.010, 0.006], [9.745, 3.201, 0.006], [9.745, 1.564, 2.793]], "species": ["Zn", "Y", "W", "Y"], "fractional_positions": [[0.491, 0.491, 0.491], [0.238, 0.238, 0.238], [0.758, 0.758, 0.758], [0.012, 0.012, 0.012]], "m_tot_mub_per_fu": 0.02, "total_energy_ev_per_cell": -25.1, "crystal_system": "trigonal"}

---

[12]
{"formula": "YZn2W", "functional": "PBE", "state": "relaxed", "cell": [[-1.972, -4.373, -1.381], [0.155, -4.958, 0.555], [-3.754, -0.518, 3.966]], "species": ["Zn", "W", "Zn", "Y"], "fractional_positions": [[0.011, 0.011, 0.945], [0.750, 0.750, 0.750], [0.489, 0.489, 0.555], [0.250, 0.250, 0.250]], "m_tot_mub_per_fu": 0.00, "total_energy_ev_per_cell": -20.8, "relative_energy_mev_per_atom": 153.6, "crystal_system": "monoclinic"}